The following is a PBE-GGA calculation of a relaxed AlTlHg2H crystal, from Alexandria.

Computed properties:
The calculation puts the total moment at 0.000 μB per cell. Its raw total energy is -1.895 eV/atom. The space group is P4/mmm (123). Its crystal system is tetragonal.

Lattice parameters (Å, degrees): 5.584 5.584 3.511 90.00 90.00 90.00
Fractional positions:
Al  0.000  0.000  0.000
Tl  0.500  0.500  0.500
Hg  0.000  0.500  0.000
Hg  0.500  0.000  0.000
H  0.000  0.000  0.500